DFT (PBE) results for a geometry-optimized CoPb2Se structure.

Cell lengths 9.6276, 9.6276, 9.6276 Å; angles 20.53, 20.53, 20.53 degrees
Atoms (fractional coordinates):
Pb 0.0211 0.0211 0.0211
Pb 0.2452 0.2452 0.2452
Co 0.7635 0.7635 0.7635
Se 0.4701 0.4701 0.4701

Summary:
**Energy relative to the elements, uncorrected**: -2.4 kJ/mol of atoms
**Space-group type**: No. 160
**Uncorrected energy**: -18.1 eV/cell